Record 1
## CsKNi3 (PBE)

Data for a relaxed CsKNi3 crystal.

Lattice parameters (Å, degrees): 5.0988 5.0988 5.0988 90.00 90.00 90.00
Element x y z (fractional)
1 Cs 0.0000 0.0000 0.0000
2 Ni 0.0000 0.5000 0.0000
3 Ni 0.0000 0.0000 0.5000
4 Ni 0.5000 0.0000 0.0000
5 K 0.5000 0.5000 0.5000

Properties
- calculated total energy (Ry per atom) = -0.15707
- D(E_F) (states/eV per atom) = 0.256
- SG = Pm-3m, No. 221

Record 2
## CsKNi (PBE)

Data for a relaxed CsKNi crystal.

Lattice parameters (Å, degrees): 4.3232 8.3586 9.2770 101.48 103.29 90.03
Element x y z (fractional)
1 Cs 0.7952 0.5859 0.6178
2 Cs 0.0292 0.5376 0.0965
3 Ni 0.4417 0.7779 0.9172
4 Ni 0.9526 0.8626 0.9387
5 K 0.5916 0.0379 0.2245
6 K 0.3598 0.0723 0.7499

Properties
- calculated total energy (Ry per atom) = -0.16227
- D(E_F) (states/eV per atom) = 0.850
- SG = P1, No. 1

Record 3
## CsK3Ni (PBE)

Data for a relaxed CsK3Ni crystal.

Lattice parameters (Å, degrees): 6.6115 6.6115 6.6115 90.00 90.00 90.00
Element x y z (fractional)
1 Cs 0.5000 0.5000 0.5000
2 Ni 0.0000 0.0000 0.0000
3 K 0.0000 0.5000 0.0000
4 K 0.0000 0.0000 0.5000
5 K 0.5000 0.0000 0.0000

Properties
- calculated total energy (Ry per atom) = -0.11524
- D(E_F) (states/eV per atom) = 0.645
- SG = Pm-3m, No. 221

Record 4
## Cs2KNi (PBE)

Data for a relaxed Cs2KNi crystal.

Lattice parameters (Å, degrees): 9.5964 9.5964 9.6190 60.08 60.08 90.00
Element x y z (fractional)
1 Cs 0.8543 0.1250 0.2500
2 Cs 0.8957 0.6250 0.2500
3 Cs 0.3750 0.1457 0.7500
4 Cs 0.8750 0.1043 0.7500
5 Ni 0.0000 0.0000 0.0000
6 Ni 0.7500 0.2500 0.5000
7 K 0.5000 0.5000 0.0000
8 K 0.2500 0.7500 0.5000

Properties
- calculated total energy (Ry per atom) = -0.11120
- D(E_F) (states/eV per atom) = 0.909
- SG = I-42d, No. 122

Record 5
## CsKNi (PBE)

Data for a relaxed CsKNi crystal.

Lattice parameters (Å, degrees): 4.3148 8.3594 9.4263 78.80 76.90 90.00
Element x y z (fractional)
1 Cs 0.9030 0.7202 0.6891
2 Cs 0.0970 0.2798 0.3109
3 Ni 0.2538 0.5423 0.9925
4 Ni 0.7462 0.4577 0.0075
5 K 0.6764 0.7757 0.1479
6 K 0.3236 0.2243 0.8521

Properties
- calculated total energy (Ry per atom) = -0.16283
- D(E_F) (states/eV per atom) = 0.821
- SG = P-1, No. 2

Record 6
## CsKNi (PBE)

Data for a relaxed CsKNi crystal.

Lattice parameters (Å, degrees): 5.7112 5.7112 13.9185 90.00 90.00 120.00
Element x y z (fractional)
1 Cs 0.0000 0.0000 0.4496
2 Cs 0.3333 0.6667 0.1163
3 Cs 0.6667 0.3333 0.7829
4 Ni 0.0000 0.0000 0.6999
5 Ni 0.3333 0.6667 0.3665
6 Ni 0.6667 0.3333 0.0332
7 K 0.0000 0.0000 0.9499
8 K 0.3333 0.6667 0.6166
9 K 0.6667 0.3333 0.2833

Properties
- calculated total energy (Ry per atom) = -0.14090
- D(E_F) (states/eV per atom) = 2.638
- SG = R3m, No. 160

Q: Which E_form values were calculated for the entries above? A: 1.722, 0.370, 0.418, 0.634, 0.362, 0.660, in eV per atom.